The following is a GGA-PBE calculation of a geometry-optimized KPtO2F structure, from the Alexandria database.

Calculated values
E_form (uncorrected): 101 kJ/mol of atoms

a = 4.5511 Å, b = 4.5511 Å, c = 4.5532 Å
α = 90.00°, β = 90.00°, γ = 90.00°
With the nearest neighbours (Å) after each atom.
Sites, in units of the cell vectors:
K (0.0000, 0.0000, 0.0000)  4 O 2.28, 2 F 2.28
O (0.0000, 0.5000, 0.0000)  2 K 2.28
O (0.5000, 0.0000, 0.0000)  2 K 2.28
Pt (0.5000, 0.5000, 0.5000)  4 F 3.22, 8 O 3.22
F (0.0000, 0.0000, 0.5000)  2 K 2.28

***

The following is a GGA-PBE calculation of a geometry-optimized LiTiH2 structure, from the Alexandria database.

Calculated values
Energy above the lowest structure with this stoichiometry: 0.935 kcal/mol of atoms

a = 2.8746 Å, b = 2.8746 Å, c = 5.4168 Å
α = 74.61°, β = 74.61°, γ = 60.00°
With the nearest neighbours (Å) after each atom.
Sites, in units of the cell vectors:
Li (0.4927, 0.4927, 0.5219)  6 H 2.13-2.33
Ti (0.6686, 0.6686, 0.9942)  6 H 1.98-1.99
H (0.0732, 0.0732, 0.7803)  3 Ti 1.99, 3 Li 2.13
H (0.2655, 0.2655, 0.2036)  3 Ti 1.98

***

The following is a GGA-PBE calculation of a geometry-optimized Be2ZnW structure, from the Alexandria database.

Calculated values
ΔE_f: 0.172 eV per atom

a = 2.7342 Å, b = 2.7334 Å, c = 6.2725 Å
α = 90.00°, β = 90.00°, γ = 90.00°
With the nearest neighbours (Å) after each atom.
Sites, in units of the cell vectors:
Be (0.0000, 0.0000, 0.9807)  4 Zn 2.41, 4 W 2.57
Be (0.0000, 0.0000, 0.5193)  4 Zn 2.41, 4 W 2.57
Zn (0.5000, 0.5000, 0.7500)  8 Be 2.41
W (0.5000, 0.5000, 0.2500)  8 Be 2.57, 4 W 2.73

***

The following is a GGA-PBE calculation of a geometry-optimized SiIr2Rh structure, from the Alexandria database.

Calculated values
E_form (uncorrected): 8 kJ/mol of atoms

a = 4.3253 Å, b = 4.3253 Å, c = 4.3253 Å
α = 60.00°, β = 60.00°, γ = 60.00°
With the nearest neighbours (Å) after each atom.
Sites, in units of the cell vectors:
Ir (0.0000, 0.0000, 0.0000)  4 Si 2.65, 4 Ir 2.65
Ir (0.7500, 0.7500, 0.7500)  4 Rh 2.65, 4 Ir 2.65
Rh (0.5000, 0.5000, 0.5000)  4 Si 2.65, 4 Ir 2.65
Si (0.2500, 0.2500, 0.2500)  4 Rh 2.65, 4 Ir 2.65

***

The following is a GGA-PBE calculation of a geometry-optimized Mg2ScW3S8 structure, from the Alexandria database.

Calculated values
E_form (uncorrected): -93 kJ/mol of atoms

a = 7.3785 Å, b = 7.3786 Å, c = 7.5157 Å
α = 56.00°, β = 56.00°, γ = 55.73°
With the nearest neighbours (Å) after each atom.
Sites, in units of the cell vectors:
Sc (0.4991, 0.4991, 0.4839)  6 S 2.46-2.72
S (0.7489, 0.7489, 0.7509)  3 W 2.37-2.38
S (0.2333, 0.2333, 0.7195)  2 Mg 2.49-2.53, 2 W 2.64, 1 Sc 2.72
S (0.2274, 0.7246, 0.2367)  2 Mg 2.50-2.58, 2 W 2.58-2.60, 1 Sc 2.68
S (0.7246, 0.2274, 0.2367)  2 Mg 2.50-2.58, 2 W 2.58-2.60, 1 Sc 2.68
S (0.7279, 0.2435, 0.7440)  2 W 2.42-2.44, 1 Mg 2.47, 1 Sc 2.49
S (0.2436, 0.7278, 0.7440)  2 W 2.42-2.44, 1 Mg 2.47, 1 Sc 2.49
S (0.2627, 0.2627, 0.2724)  1 Mg 2.39, 3 W 2.61-2.65
S (0.7426, 0.7425, 0.2274)  1 Mg 2.44, 2 W 2.45, 1 Sc 2.46
Mg (0.9837, 0.9838, 0.9737)  6 S 2.44-2.58
Mg (0.1453, 0.1454, 0.1257)  4 S 2.39-2.50
W (0.5183, 0.5183, 0.9399)  6 S 2.38-2.61
W (0.9147, 0.5280, 0.5226)  6 S 2.37-2.65
W (0.5280, 0.9147, 0.5226)  6 S 2.37-2.65

***

The following is a GGA-PBE calculation of a geometry-optimized La3Er2PaP6 structure, from the Alexandria database.

Calculated values
ΔE_f: -1.551 eV per atom

a = 7.0938 Å, b = 7.0938 Å, c = 7.1674 Å
α = 99.48°, β = 99.48°, γ = 120.00°
With the nearest neighbours (Å) after each atom.
Sites, in units of the cell vectors:
La (0.1681, 0.8319, 0.5000)  6 P 2.97-3.01
La (0.8319, 0.1681, 0.5000)  6 P 2.97-3.01
La (0.5000, 0.5000, 0.5000)  6 P 2.98-3.02
Er (0.3337, 0.6663, 0.0000)  6 P 2.84-2.85
Er (0.6663, 0.3337, 0.0000)  6 P 2.84-2.85
Pa (0.0000, 0.0000, 0.0000)  6 P 2.80
P (0.9236, 0.5955, 0.7703)  1 Pa 2.80, 2 Er 2.85, 3 La 2.97-3.01
P (0.7489, 0.7489, 0.2299)  1 Pa 2.80, 2 Er 2.84, 3 La 2.99-3.02
P (0.0764, 0.4045, 0.2297)  1 Pa 2.80, 2 Er 2.85, 3 La 2.97-3.01
P (0.5955, 0.9236, 0.7703)  1 Pa 2.80, 2 Er 2.85, 3 La 2.97-3.01
P (0.2511, 0.2511, 0.7701)  1 Pa 2.80, 2 Er 2.84, 3 La 2.99-3.02
P (0.4045, 0.0764, 0.2297)  1 Pa 2.80, 2 Er 2.85, 3 La 2.97-3.01

***

The following is a GGA-PBE calculation of a geometry-optimized Ho6Er2Ag structure, from the Alexandria database.

Calculated values
ΔE_f: 0.094 eV per atom

a = 3.5282 Å, b = 9.1518 Å, c = 9.6749 Å
α = 118.23°, β = 90.03°, γ = 90.00°
With the nearest neighbours (Å) after each atom.
Sites, in units of the cell vectors:
Ho (0.9997, 0.3383, 0.3223)  1 Ag 3.19, 6 Ho 3.24-3.53, 4 Er 3.46-3.57
Ho (0.0003, 0.0160, 0.6777)  1 Ag 3.19, 6 Ho 3.24-3.53, 4 Er 3.46-3.57
Ho (0.0003, 0.6617, 0.6777)  1 Ag 3.19, 6 Ho 3.24-3.53, 4 Er 3.46-3.57
Ho (0.5000, 0.2931, 0.0000)  2 Ag 3.21, 6 Ho 3.43-3.53
Ho (0.9997, 0.9840, 0.3223)  1 Ag 3.19, 6 Ho 3.24-3.53, 4 Er 3.46-3.57
Ho (0.5000, 0.7069, 0.0000)  2 Ag 3.21, 6 Ho 3.43-3.53
Er (0.4994, 0.6835, 0.3671)  10 Ho 3.46-3.66, 2 Er 3.53
Er (0.5006, 0.3165, 0.6329)  10 Ho 3.46-3.66, 2 Er 3.53
Ag (0.0000, 0.0000, 0.0000)  8 Ho 3.19-3.21, 2 Ag 3.53

***

The following is a GGA-PBE calculation of a geometry-optimized SrTlHg2 structure, from the Alexandria database.

Calculated values
ΔE_f: -0.297 eV per atom
Energy above the lowest structure with this stoichiometry: 1.810 kcal/mol of atoms

a = 5.4358 Å, b = 5.4358 Å, c = 5.4358 Å
α = 60.00°, β = 60.00°, γ = 60.00°
With the nearest neighbours (Å) after each atom.
Sites, in units of the cell vectors:
Sr (0.5000, 0.5000, 0.5000)  4 Tl 3.33, 4 Hg 3.33
Tl (0.7500, 0.7500, 0.7500)  4 Hg 3.33, 4 Sr 3.33
Hg (0.0000, 0.0000, 0.0000)  4 Hg 3.33, 4 Tl 3.33
Hg (0.2500, 0.2500, 0.2500)  4 Sr 3.33, 4 Hg 3.33

***

The following is a GGA-PBE calculation of a geometry-optimized PrNdOs structure, from the Alexandria database.

Calculated values
ΔE_f: -0.033 eV per atom
Energy above the lowest structure with this stoichiometry: 0.000 kcal/mol of atoms

a = 4.9474 Å, b = 4.9474 Å, c = 4.9474 Å
α = 60.00°, β = 60.00°, γ = 60.00°
With the nearest neighbours (Å) after each atom.
Sites, in units of the cell vectors:
Pr (0.5000, 0.5000, 0.5000)  4 Os 3.03
Nd (0.0000, 0.0000, 0.0000)  4 Os 3.03
Os (0.2500, 0.2500, 0.2500)  4 Pr 3.03, 4 Nd 3.03

***

The following is a GGA-PBE calculation of a geometry-optimized Fe4HgP2 structure, from the Alexandria database.

Calculated values
ΔE_f: 1.108 eV per atom

a = 4.7661 Å, b = 4.7661 Å, c = 6.7399 Å
α = 69.29°, β = 69.29°, γ = 90.00°
With the nearest neighbours (Å) after each atom.
Sites, in units of the cell vectors:
P (0.5933, 0.5933, 0.8134)  1 Fe 2.16, 1 P 2.18
P (0.4067, 0.4067, 0.1866)  1 Fe 2.16, 1 P 2.18
Hg (0.0000, 0.0000, 0.0000)  6 Fe 2.38-2.59
Fe (0.7785, 0.7785, 0.4431)  1 P 2.16
Fe (0.2215, 0.2215, 0.5569)  1 P 2.16
Fe (0.0000, 0.5000, 0.0000)  2 Hg 2.38, 4 P 2.62
Fe (0.5000, 0.0000, 0.0000)  2 Hg 2.38, 4 P 2.62

***

The following is a GGA-PBE calculation of a geometry-optimized CaCd5Ag structure, from the Alexandria database.

Calculated values
ΔE_f: -0.156 eV per atom

a = 4.8266 Å, b = 4.8266 Å, c = 7.3307 Å
α = 90.00°, β = 90.00°, γ = 90.00°
With the nearest neighbours (Å) after each atom.
Sites, in units of the cell vectors:
Ca (0.0000, 0.0000, 0.0000)  12 Cd 3.22-3.41
Cd (0.5000, 0.0000, 0.7101)  2 Ag 2.86, 1 Cd 3.08
Cd (0.0000, 0.5000, 0.7101)  2 Ag 2.86, 1 Cd 3.08
Cd (0.5000, 0.5000, 0.0000)  8 Cd 3.22, 4 Ca 3.41
Cd (0.0000, 0.5000, 0.2899)  2 Ag 2.86, 1 Cd 3.08
Cd (0.5000, 0.0000, 0.2899)  2 Ag 2.86, 1 Cd 3.08
Ag (0.0000, 0.0000, 0.5000)  8 Cd 2.86

***

The following is a GGA-PBE calculation of a geometry-optimized PrZrGe2O8 structure, from the Alexandria database.

Calculated values
E_form (uncorrected): -219 kJ/mol of atoms

a = 5.9603 Å, b = 5.9603 Å, c = 5.9603 Å
α = 107.24°, β = 107.24°, γ = 114.03°
With the nearest neighbours (Å) after each atom.
Sites, in units of the cell vectors:
Pr (0.2500, 0.7500, 0.5000)  8 O 2.34-2.52
Zr (0.0000, 0.0000, 0.0000)  8 O 2.21-2.32
Ge (0.7500, 0.2500, 0.5000)  4 O 1.78
Ge (0.5000, 0.5000, 0.0000)  4 O 1.76
O (0.3805, 0.0749, 0.3056)  1 Ge 1.78
O (0.3041, 0.4764, 0.1723)  1 Ge 1.76
O (0.3041, 0.1318, 0.8277)  1 Ge 1.76
O (0.7693, 0.0749, 0.6944)  1 Ge 1.78
O (0.8682, 0.6959, 0.1723)  1 Ge 1.76
O (0.9251, 0.2307, 0.3056)  1 Ge 1.78
O (0.9251, 0.6195, 0.6944)  1 Ge 1.78
O (0.5236, 0.6959, 0.8277)  1 Ge 1.76

***

The following is a GGA-PBE calculation of a geometry-optimized CaTmPdPt structure, from the Alexandria database.

Calculated values
ΔE_f: -0.976 eV per atom
Energy above the lowest structure with this stoichiometry: 0.000 kcal/mol of atoms

a = 3.8071 Å, b = 4.3470 Å, c = 5.7219 Å
α = 90.00°, β = 109.43°, γ = 90.00°
With the nearest neighbours (Å) after each atom.
Sites, in units of the cell vectors:
Ca (0.1423, 0.0000, 0.2845)  3 Pt 2.92-3.12, 4 Pd 2.96
Tm (0.8639, 0.5000, 0.7277)  4 Pt 2.94, 3 Pd 3.02-3.06
Pd (0.5807, 0.5000, 0.1615)  2 Pt 2.83, 4 Ca 2.96, 3 Tm 3.02-3.06
Pt (0.4131, 0.0000, 0.8263)  2 Pd 2.83, 3 Ca 2.92-3.12, 4 Tm 2.94

***

The following is a GGA-PBE calculation of a geometry-optimized Ac2AlHgO6 structure, from the Alexandria database.

Calculated values
E_form (uncorrected): -225 kJ/mol of atoms

a = 4.8586 Å, b = 5.5777 Å, c = 5.5777 Å
α = 90.00°, β = 90.00°, γ = 90.00°
With the nearest neighbours (Å) after each atom.
Sites, in units of the cell vectors:
Ac (0.0387, 0.5000, 0.0000)  6 O 2.54-2.82
Ac (0.0387, 0.0000, 0.5000)  6 O 2.54-2.82
Al (0.5844, 0.0000, 0.0000)  5 O 1.78-1.89
Hg (0.5923, 0.5000, 0.5000)  5 O 2.24-2.25
O (0.7113, 0.2261, 0.2261)  1 Al 1.89
O (0.7113, 0.2261, 0.7739)  1 Al 1.89
O (0.1299, 0.5000, 0.5000)  1 Hg 2.25
O (0.2174, 0.0000, 0.0000)  1 Al 1.78
O (0.7113, 0.7739, 0.7739)  1 Al 1.89
O (0.7113, 0.7739, 0.2261)  1 Al 1.89

***

The following is a GGA-PBE calculation of a geometry-optimized Rb2PmPu3O12 structure, from the Alexandria database.

Calculated values
E_form (uncorrected): -244 kJ/mol of atoms

a = 7.7587 Å, b = 7.7587 Å, c = 7.7587 Å
α = 62.26°, β = 62.26°, γ = 62.26°
With the nearest neighbours (Å) after each atom.
Sites, in units of the cell vectors:
Rb (0.6310, 0.6310, 0.6310)  3 O 3.20
Rb (0.3690, 0.3690, 0.3690)  3 O 3.20
Pm (0.0000, 0.0000, 0.0000)  6 O 2.35
Pu (0.5000, 0.0000, 0.0000)  6 O 1.94-2.10
Pu (0.0000, 0.5000, 0.0000)  6 O 1.94-2.10
Pu (0.0000, 0.0000, 0.5000)  6 O 1.94-2.10
O (0.3040, 0.3040, 0.9293)  2 Pu 2.10
O (0.9181, 0.9181, 0.3555)  1 Pu 1.94
O (0.3555, 0.9181, 0.9181)  1 Pu 1.94
O (0.9293, 0.3040, 0.3040)  2 Pu 2.10
O (0.9181, 0.3555, 0.9181)  1 Pu 1.94
O (0.3040, 0.9293, 0.3040)  2 Pu 2.10
O (0.6960, 0.6960, 0.0707)  2 Pu 2.10
O (0.0819, 0.0819, 0.6445)  1 Pu 1.94
O (0.6445, 0.0819, 0.0819)  1 Pu 1.94
O (0.0707, 0.6960, 0.6960)  2 Pu 2.10
O (0.0819, 0.6445, 0.0819)  1 Pu 1.94
O (0.6960, 0.0707, 0.6960)  2 Pu 2.10

***

The following is a GGA-PBE calculation of a geometry-optimized RbIn3W structure, from the Alexandria database.

Calculated values
ΔE_f: 0.336 eV per atom
Energy above the lowest structure with this stoichiometry: 0.000 kcal/mol of atoms

a = 5.4023 Å, b = 5.4023 Å, c = 5.4023 Å
α = 90.00°, β = 90.00°, γ = 90.00°
With the nearest neighbours (Å) after each atom.
Sites, in units of the cell vectors:
Rb (0.5000, 0.5000, 0.5000)  12 In 3.82
W (0.0000, 0.0000, 0.0000)  6 In 2.70
In (0.0000, 0.5000, 0.0000)  2 W 2.70
In (0.0000, 0.0000, 0.5000)  2 W 2.70
In (0.5000, 0.0000, 0.0000)  2 W 2.70

***

The following is a GGA-PBE calculation of a geometry-optimized Ho3Sc4Tl4 structure, from the Alexandria database.

Calculated values
ΔE_f: -0.184 eV per atom

a = 4.5464 Å, b = 8.1658 Å, c = 9.2366 Å
α = 116.23°, β = 104.25°, γ = 90.00°
With the nearest neighbours (Å) after each atom.
Sites, in units of the cell vectors:
Ho (0.1185, 0.1185, 0.2370)  6 Tl 3.36-3.41, 6 Sc 3.46-3.70
Ho (0.8815, 0.8815, 0.7630)  6 Tl 3.36-3.41, 6 Sc 3.46-3.70
Ho (0.0000, 0.5000, 0.0000)  6 Tl 3.36-3.54
Sc (0.3270, 0.1279, 0.6541)  4 Tl 2.88-2.97
Sc (0.6730, 0.4739, 0.3459)  4 Tl 2.88-2.97
Sc (0.6730, 0.8721, 0.3459)  4 Tl 2.88-2.97
Sc (0.3270, 0.5261, 0.6541)  4 Tl 2.88-2.97
Tl (0.2222, 0.7222, 0.4444)  6 Sc 2.90-2.97
Tl (0.7778, 0.2778, 0.5556)  6 Sc 2.90-2.97
Tl (0.5000, 0.8034, 0.0000)  2 Sc 2.88, 1 Tl 3.21
Tl (0.5000, 0.1966, 0.0000)  2 Sc 2.88, 1 Tl 3.21

***

The following is a GGA-PBE calculation of a geometry-optimized ErTiSn2 structure, from the Alexandria database.

Calculated values
ΔE_f: -0.330 eV per atom
Energy above the lowest structure with this stoichiometry: 0.000 kcal/mol of atoms

a = 4.3429 Å, b = 4.5654 Å, c = 4.5654 Å
α = 90.00°, β = 90.00°, γ = 90.00°
With the nearest neighbours (Å) after each atom.
Sites, in units of the cell vectors:
Ti (0.5000, 0.5000, 0.5000)  8 Sn 3.15, 4 Er 3.23
Sn (0.0000, 0.0000, 0.5000)  4 Er 3.15, 4 Ti 3.15, 4 Sn 3.23
Sn (0.0000, 0.5000, 0.0000)  4 Er 3.15, 4 Ti 3.15, 4 Sn 3.23
Er (0.5000, 0.0000, 0.0000)  8 Sn 3.15, 4 Ti 3.23

***

The following is a GGA-PBE calculation of a geometry-optimized Sr4P2C structure, from the Alexandria database.

Calculated values
ΔE_f: -0.338 eV per atom

a = 4.9478 Å, b = 4.9478 Å, c = 8.7977 Å
α = 73.67°, β = 73.67°, γ = 90.00°
With the nearest neighbours (Å) after each atom.
Sites, in units of the cell vectors:
Sr (0.8223, 0.8223, 0.3555)  1 C 2.87, 1 P 3.04
Sr (0.1777, 0.1777, 0.6445)  1 C 2.87, 1 P 3.04
Sr (0.0000, 0.5000, 0.0000)  2 C 2.47
Sr (0.5000, 0.0000, 0.0000)  2 C 2.47
C (0.0000, 0.0000, 0.0000)  4 Sr 2.47
P (0.6341, 0.6341, 0.7318)  5 Sr 3.04-3.29
P (0.3659, 0.3659, 0.2682)  5 Sr 3.04-3.29

***

The following is a GGA-PBE calculation of a geometry-optimized LiPmTm2Tl4 structure, from the Alexandria database.

Calculated values
ΔE_f: -0.312 eV per atom

a = 5.2352 Å, b = 5.2352 Å, c = 9.3664 Å
α = 73.77°, β = 73.77°, γ = 60.00°
With the nearest neighbours (Å) after each atom.
Sites, in units of the cell vectors:
Li (0.5000, 0.5000, 0.5000)  8 Tl 3.19-3.21
Pm (0.0000, 0.0000, 0.0000)  8 Tl 3.26-3.41
Tm (0.7542, 0.7542, 0.7373)  7 Tl 3.12-3.22
Tm (0.2458, 0.2458, 0.2627)  7 Tl 3.12-3.22
Tl (0.3792, 0.3792, 0.8624)  1 Li 3.21, 4 Tm 3.22-3.55, 3 Pm 3.26
Tl (0.8716, 0.8716, 0.3852)  4 Tm 3.12-3.21, 3 Li 3.19, 1 Pm 3.41
Tl (0.1284, 0.1284, 0.6148)  4 Tm 3.12-3.21, 3 Li 3.19, 1 Pm 3.41
Tl (0.6208, 0.6208, 0.1376)  1 Li 3.21, 4 Tm 3.22-3.55, 3 Pm 3.26